# 1
The following is a PBE-GGA calculation of NaYSbTe2 after structural relaxation, from the Alexandria database.

a b c (Å): 5.912 5.912 5.860
angles (deg): 90.00 90.00 90.00
Space group P4/mmm (No. 123)
Unique sites:
Na  0.000  0.000  0.000 x1
Y  0.500  0.500  0.500 x1
Sb  0.500  0.500  0.000 x1
Te  0.000  0.500  0.500 x2

Summary:
The volume is 40.97 Å³ per atom. The value obtained for the calculated total energy is -4.014 eV/atom. The value obtained for the energy relative to the elements, uncorrected is -0.38 eV per atom. For the size of the total moment, the calculation gives 0.12 μB/atom.

# 2
The following is a PBE-GGA calculation of Tb3Dy8Pu after structural relaxation, from the Alexandria database.

a b c (Å): 8.611 8.611 11.335
angles (deg): 90.00 90.00 90.00
Space group I-42m (No. 121)
Unique sites:
Tb  0.000  0.000  0.000 x2
Tb  0.000  0.500  0.250 x4
Dy  0.126  0.126  0.267 x8
Dy  0.231  0.231  0.531 x8
Pu  0.000  0.000  0.500 x2

Summary:
The volume is 35.03 Å³ per atom. The value obtained for the calculated total energy is -4.830 eV/atom. For the size of the total moment, the calculation gives 0.34 μB/atom.

calculated total energy of number 2 (Tb3Dy8Pu)?
-4.830 eV/atom

Which of these has the lowest size of the total moment?
NaYSbTe2

Which of these has the highest calculated total energy?
NaYSbTe2

The lowest size of the total moment belongs to which entry?
NaYSbTe2